Density functional theory data (GGA+U) for a relaxed CsK2W2O7 crystal.

Cell lengths 6.9210, 6.9210, 25.1486 Å; angles 90.00, 90.00, 120.00 degrees
Space group R32 (No. 155, hexagonal axes)
Inequivalent atoms, fractional coordinates:
Cs: 0.0000 0.0000 0.0000
K: 0.0000 0.0000 0.2686
W: 0.0000 0.0000 0.4212
O: 0.0000 0.0000 0.5000
O: 0.0018 0.2536 0.4019

The total energy is -222.6 eV/cell. The total moment comes out at 0.083 μB/atom.